1.
Density functional theory data (PBE) for a relaxed ScReGe2 crystal.

As for the theoretical density: 9.2 g cm⁻³. For the spin magnetization, the calculation gives 0.0000 μB/atom. For the relative energy among the computed polymorphs, the calculation gives 0.94 eV per formula unit. Its energy of formation from the pure elements is -250 meV/atom. The calculation puts the density of states at the Fermi level at 5.02 states/eV/cell. As for the crystal system: trigonal. As for the volume: 204.06 Å³ per cell. Its total energy is -7.2531 eV per atom.

It has space group R-3m (No. 166, hexagonal axes), with a = 4.2323 Å, b = 4.2323 Å, c = 13.1544 Å, α = 90.00°, β = 90.00° and γ = 120.00°. The distinct sites, in fractional coordinates, are Sc at (0.0000, 0.0000, 0.0000), Re at (0.0000, 0.0000, 0.5000) and Ge at (0.0000, 0.0000, 0.2321).

2.
Density functional theory data (PBE) for a relaxed ScTl2ReGe crystal.

As for the theoretical density: 8.0 g cm⁻³. For the spin magnetization, the calculation gives 0.4082 μB/atom. Its energy of formation from the pure elements is 1352 meV/atom. The calculation puts the density of states at the Fermi level at 4.00 states/eV/cell. As for the crystal system: tetragonal. As for the volume: 147.71 Å³ per cell. Its total energy is -4.2743 eV per atom.

It has space group P4/mmm (No. 123), with a = 5.545 Å, b = 5.545 Å, c = 4.803 Å, α = 90.00°, β = 90.00° and γ = 90.00°. The distinct sites, in fractional coordinates, are Sc at (0.000, 0.000, 0.000), Tl at (0.000, 0.500, 0.000), Re at (0.000, 0.000, 0.500) and Ge at (0.500, 0.500, 0.500).